A PBEsol-optimized structure of BaLa2Zn, computed with SCAN.

DOS(E_F)	1.312	states/eV/atom
size of the total moment	0.00	μB/f.u.
theoretical density	5762	kg/m³
energy of formation from the pure elements	-0.107	eV per atom
space group	P4/mmm, No. 123

Cell lengths 3.814, 3.814, 9.520 Å; angles 90.00, 90.00, 90.00 degrees
Element x y z (fractional)
Ba 0.000 0.000 0.000
La 0.500 0.500 0.331
La 0.500 0.500 0.669
Zn 0.000 0.000 0.500

A PBEsol-optimized structure of BaLaZn2, computed with SCAN.

DOS(E_F)	0.930	states/eV/atom
size of the total moment	0.00	μB/f.u.
theoretical density	6764	kg/m³
energy of formation from the pure elements	0.114	eV per atom
space group	F-43m, No. 216

Cell lengths 5.209, 5.209, 5.209 Å; angles 60.00, 60.00, 60.00 degrees
Element x y z (fractional)
Ba 0.000 0.000 0.000
La 0.750 0.750 0.750
Zn 0.250 0.250 0.250
Zn 0.500 0.500 0.500